Entry 1:
# BaCo3O, optimized geometry, DFT PBE+U
# - energy above the lowest structure with this stoichiometry (meV per atom) = 1667
data_BaCo3O
_chemical_formula_sum 'Ba1 Co3 O1'
_symmetry_space_group_name_H-M 'P m -3 m'
_symmetry_Int_Tables_number 221
_symmetry_space_group_name_Hall '-P 4 2 3'
_cell_length_a 5.703
_cell_length_b 5.703
_cell_length_c 5.703
_cell_angle_alpha 90.00
_cell_angle_beta 90.00
_cell_angle_gamma 90.00
loop_
_atom_site_label
_atom_site_fract_x
_atom_site_fract_y
_atom_site_fract_z
Ba1 0.000 0.000 0.000
Co1 0.000 0.000 0.500
O1 0.500 0.500 0.500


Entry 2:
# Ba2Co3O7, optimized geometry, DFT PBE+U
# - total energy (eV/atom) = -5.81
data_Ba2Co3O7
_chemical_formula_sum 'Ba2 Co3 O7'
_symmetry_space_group_name_H-M 'P m m m'
_symmetry_Int_Tables_number 47
_symmetry_space_group_name_Hall '-P 2 2'
_cell_length_a 3.746
_cell_length_b 3.758
_cell_length_c 13.543
_cell_angle_alpha 90.00
_cell_angle_beta 90.00
_cell_angle_gamma 90.00
loop_
_atom_site_label
_atom_site_fract_x
_atom_site_fract_y
_atom_site_fract_z
Ba1 0.000 0.000 0.183
Co1 0.500 0.500 0.000
Co2 0.500 0.500 0.354
O1 0.000 0.500 0.339
O2 0.500 0.000 0.000
O3 0.500 0.000 0.341
O4 0.500 0.500 0.132


| no. | total magnetization (Bohr magnetons per cell) |
| --- | --- |
| 1 | 7.89 |
| 2 | 10.12 |